Here is a relaxed structure of Y5ScIr6 from Alexandria via LeMat-Bulk. Energies are from GGA-PBE.

- D(E_F) (states/eV/atom) = 0.3159
- crystal system = monoclinic
- calculated formation energy (meV per atom) = -797

Lattice parameters (Å, degrees): 4.8772 6.6203 7.6538 90.00 107.02 90.00
Closest atoms and distances in Å follow each position.
Space group P2/m (No. 10)
Asymmetric unit:
Y (0.0000, 0.0000, 0.0000) x1  8 Ir 2.92-2.98
Y (0.3334, 0.0000, 0.6663) x2  8 Ir 2.97-3.02, 2 Y 3.31
Y (0.3337, 0.5000, 0.6682) x2  8 Ir 2.90-2.99
Sc (0.0000, 0.5000, 0.0000) x1  8 Ir 2.88-2.91
Ir (0.1626, 0.2549, 0.3248) x4  1 Sc 2.88, 7 Y 2.92-3.02
Ir (0.5000, 0.2595, 0.0000) x2  6 Y 2.90-2.99, 2 Sc 2.91, 1 Ir 3.19